No. 1
# TbCN2F

TbCN2F after structural relaxation (PBE-GGA, the Alexandria database).

Summary:
N(E_F) = 0.0 states/eV per cell
calculated density = 5.7 Mg/m³
raw formation energy = -1.6717 eV per atom
V = 12.65 Å³ per atom
M_tot = 0.00 μB per cell
calculated total energy = -81.5 eV per cell

abc: 5.4730 3.5377 6.5738
angles: 90.00 96.30 90.00
Space group P2_1/m (No. 11)
One atom of each set of equivalent atoms:
Tb1 0.1404 0.2500 0.2651 [2 per cell]
C1 0.3542 0.2500 0.8344 [2 per cell]
N1 0.1387 0.2500 0.8799 [2 per cell]
N2 0.4356 0.7500 0.2098 [2 per cell]
F1 0.1664 0.7500 0.5100 [2 per cell]

---

No. 2
# TcCNF2

TcCNF2 after structural relaxation (PBE-GGA, the Alexandria database).

Summary:
N(E_F) = 5.1 states/eV per cell
calculated density = 4.2 Mg/m³
raw formation energy = 0.7628 eV per atom
V = 12.76 Å³ per atom
M_tot = 2.84 μB per cell
calculated total energy = -27.8 eV per cell

abc: 4.1000 4.1000 3.7966
angles: 90.00 90.00 90.00
Space group P4/mmm (No. 123)
One atom of each set of equivalent atoms:
Tc1 0.0000 0.0000 0.0000 [1 per cell]
C1 0.5000 0.5000 0.5000 [1 per cell]
N1 0.0000 0.0000 0.5000 [1 per cell]
F1 0.0000 0.5000 0.0000 [2 per cell]